Material: Li2LaBr
Method: DFT, PBE
State: relaxed

a = 3.667 Å, b = 5.252 Å, c = 5.239 Å
α = 90.00°, β = 92.87°, γ = 90.00°
Sites, in units of the cell vectors:
Li: 0.069 0.000 0.253
Li: 0.931 0.000 0.747
La: 0.500 0.500 0.000
Br: 0.000 0.500 0.500

Results
* E: -3.055 eV per atom
* total magnetization: 0.00 μB/f.u.
* formation energy from raw total energies: -448 meV/atom